[1]
Crystalline Ca2Ta2TiO8 at its relaxed geometry, computed with PBE-GGA.

Cell: 9.9279 9.9279 5.4780 Å, 91.24 91.24 37.20°
Atoms (fractional coordinates):
Ca: 0.0249 0.3890 0.2436
Ca: 0.3890 0.0249 0.7436
Ca: 0.6110 0.9751 0.2564
Ca: 0.9751 0.6110 0.7564
Ta: 0.2441 0.5346 0.2348
Ta: 0.4654 0.7559 0.2652
Ta: 0.5346 0.2441 0.7348
Ta: 0.7559 0.4654 0.7652
Ti: 0.1135 0.8865 0.7500
Ti: 0.8865 0.1135 0.2500
O: 0.0339 0.3338 0.8420
O: 0.0948 0.7949 0.4157
O: 0.2051 0.9052 0.0843
O: 0.2636 0.3764 0.4981
O: 0.2944 0.5670 0.8968
O: 0.3338 0.0339 0.3420
O: 0.3764 0.2636 0.9981
O: 0.4330 0.7056 0.6032
O: 0.5670 0.2944 0.3968
O: 0.6236 0.7364 0.0019
O: 0.6662 0.9661 0.6580
O: 0.7056 0.4330 0.1032
O: 0.7364 0.6236 0.5019
O: 0.7949 0.0948 0.9157
O: 0.9052 0.2051 0.5843
O: 0.9661 0.6662 0.1580

Computed properties:
E_tot   -223.9 eV for the cell shown
E_form (uncorrected)   -2.823 eV/atom

***

[2]
Crystalline CaTa2Tl2O7 at its relaxed geometry, computed with PBE-GGA.

Cell: 3.9772 3.9772 12.0649 Å, 97.28 97.28 89.73°
Atoms (fractional coordinates):
Ca: 0.0000 0.0000 0.0000
Ta: 0.4278 0.4278 0.8254
Ta: 0.5722 0.5722 0.1746
Tl: 0.1925 0.1925 0.3893
Tl: 0.8075 0.8075 0.6107
O: 0.0601 0.5576 0.1555
O: 0.3785 0.3785 0.6654
O: 0.4424 0.9399 0.8445
O: 0.5000 0.5000 0.0000
O: 0.5576 0.0601 0.1555
O: 0.6215 0.6215 0.3346
O: 0.9399 0.4424 0.8445

Computed properties:
E_tot   -94.0 eV for the cell shown
E_form (uncorrected)   -2.401 eV/atom